Computed, not measured: a relaxed structure of InAs2 at the PBE level of DFT.

abc: 5.0385 5.0385 5.8552
angles: 90.00 90.00 120.00
Fractional positions:
As1 0.0000 0.0000 0.0000
In1 0.6667 0.3333 0.7500
In2 0.3333 0.6667 0.2500
As2 0.6667 0.3333 0.2500
As3 0.0000 0.0000 0.5000
As4 0.3333 0.6667 0.7500

Results
Calculated total energy in eV per atom: -3.69
Total moment in μB per cell: 0.00
DOS at the Fermi energy in states/eV/atom: 0.71
Energy relative to the elements in eV per atom: 0.33